# MoIr3Rh

MoIr3Rh after structural relaxation (PBE, the Alexandria database).

Lattice parameters (Å, degrees): 5.249 5.249 5.225 59.85 59.85 60.00
Site moments in Bohr magnetons follow the coordinates.
Fractional coordinates of all 5 atoms:
Mo 0.475 0.475 0.575  0.88
Ir 0.475 0.975 0.575  -0.24
Ir 0.975 0.475 0.575  -0.24
Ir 0.975 0.975 0.575  -0.24
Rh 0.975 0.975 0.075  -0.47

Computed properties:
* crystal system: trigonal
* polymorph energy (0 for the lowest one): 792 meV per atom
* ΔE_f: 1000 meV/atom
* size of the total moment: 0.2 μB/cell
* theoretical density: 12.68 g/cm³

***

# CaSmSn2

CaSmSn2 after structural relaxation (PBE, the Alexandria database).

Lattice parameters (Å, degrees): 4.453 5.009 5.009 90.00 90.00 90.00
Fractional coordinates of all 4 atoms:
Ca 0.500 0.000 0.000
Sn 0.000 0.000 0.500
Sn 0.000 0.500 0.000
Sm 0.500 0.500 0.500

Computed properties:
* crystal system: tetragonal
* ΔE_f: -626 meV/atom
* size of the total moment: 0.0 μB/cell
* theoretical density: 6.36 g/cm³

***

# K2AgSb

K2AgSb after structural relaxation (PBE, the Alexandria database).

Lattice parameters (Å, degrees): 3.187 6.398 6.911 90.00 90.00 90.00
Fractional coordinates of all 4 atoms:
Ag 0.500 0.500 0.875
K 0.000 0.000 0.875
K 0.500 0.500 0.375
Sb 0.000 0.000 0.375

Computed properties:
* crystal system: orthorhombic
* ΔE_f (raw): 0.003 eV/atom
* size of the total moment: 0.0 μB/cell
* theoretical density: 3.63 g/cm³

***

# Pm3Pr2Tl4

Pm3Pr2Tl4 after structural relaxation (PBE, the Alexandria database).

Lattice parameters (Å, degrees): 5.446 5.434 10.804 90.23 90.01 59.92
Fractional coordinates of all 9 atoms:
Pm 0.334 0.333 0.423
Pm 0.000 0.000 0.000
Pm 0.666 0.667 0.577
Pr 0.332 0.335 0.781
Pr 0.668 0.665 0.219
Tl 0.666 0.668 0.898
Tl 0.001 0.999 0.351
Tl 0.999 0.001 0.649
Tl 0.334 0.332 0.102

Computed properties:
* crystal system: monoclinic
* polymorph energy (0 for the lowest one): 0 meV per atom
* ΔE_f: -323 meV/atom
* size of the total moment: 0.0 μB/cell
* theoretical density: 9.21 g/cm³

***

# Ni2MoW

Ni2MoW after structural relaxation (PBE, the Alexandria database).

Lattice parameters (Å, degrees): 4.551 4.551 4.744 82.28 82.28 33.71
Fractional coordinates of all 4 atoms:
Mo 0.255 0.255 0.224
Ni 0.003 0.003 0.000
Ni 0.748 0.748 0.749
W 0.494 0.494 0.527

Computed properties:
* crystal system: monoclinic
* polymorph energy (0 for the lowest one): 69 meV per atom
* ΔE_f: 60 meV/atom
* size of the total moment: 0.0 μB/cell
* theoretical density: 12.21 g/cm³

***

# ZrV2Zn2

ZrV2Zn2 after structural relaxation (PBE, the Alexandria database).

Lattice parameters (Å, degrees): 3.661 3.661 6.553 73.78 73.78 90.00
Fractional coordinates of all 5 atoms:
Zn 0.400 0.400 0.199
Zn 0.600 0.600 0.801
Zr 0.000 0.000 0.000
V 0.750 0.250 0.500
V 0.250 0.750 0.500

Computed properties:
* crystal system: tetragonal
* polymorph energy (0 for the lowest one): 0 meV per atom
* ΔE_f: 57 meV/atom
* size of the total moment: 0.0 μB/cell
* theoretical density: 6.67 g/cm³

***

# Ca2YSc

Ca2YSc after structural relaxation (PBE, the Alexandria database).

Lattice parameters (Å, degrees): 6.204 6.204 6.204 130.16 130.16 73.15
Site moments in Bohr magnetons follow the coordinates.
Fractional coordinates of all 4 atoms:
Y 0.750 0.250 0.500  0.34
Sc 0.500 0.500 0.000  0.50
Ca 0.000 0.000 0.000  0.07
Ca 0.250 0.750 0.500  0.07

Computed properties:
* crystal system: tetragonal
* polymorph energy (0 for the lowest one): 129 meV per atom
* ΔE_f: 218 meV/atom
* size of the total moment: 2.1 μB/cell
* theoretical density: 2.61 g/cm³

***

# GaBrF2

GaBrF2 after structural relaxation (PBE, the Alexandria database).

Lattice parameters (Å, degrees): 10.104 10.104 10.104 17.56 17.56 17.56
Fractional coordinates of all 4 atoms:
Ga 0.000 0.000 0.000
Br 0.500 0.500 0.500
F 0.940 0.940 0.940
F 0.060 0.060 0.060

Computed properties:
* crystal system: trigonal
* ΔE_f (raw): -0.949 eV/atom
* polymorph energy (0 for the lowest one): 527 meV per atom
* size of the total moment: 0.0 μB/cell
* theoretical density: 3.80 g/cm³

***

# CsSr2Bi2

CsSr2Bi2 after structural relaxation (PBE, the Alexandria database).

Lattice parameters (Å, degrees): 10.061 10.061 3.941 90.00 90.00 90.00
Fractional coordinates of all 10 atoms:
Cs 0.000 0.000 0.000
Cs 0.500 0.500 0.000
Sr 0.368 0.868 0.000
Sr 0.868 0.632 0.000
Sr 0.632 0.132 0.000
Sr 0.132 0.368 0.000
Bi 0.164 0.664 0.500
Bi 0.664 0.836 0.500
Bi 0.836 0.336 0.500
Bi 0.336 0.164 0.500

Computed properties:
* crystal system: tetragonal
* polymorph energy (0 for the lowest one): 0 meV per atom
* ΔE_f: -708 meV/atom
* size of the total moment: 0.0 μB/cell
* theoretical density: 6.05 g/cm³

***

# BaPmGe4

BaPmGe4 after structural relaxation (PBE, the Alexandria database).

Lattice parameters (Å, degrees): 5.904 5.904 5.904 60.00 60.00 60.00
Fractional coordinates of all 6 atoms:
Ge 0.633 0.633 0.102
Ge 0.633 0.102 0.633
Ge 0.633 0.633 0.633
Ge 0.102 0.633 0.633
Ba 0.250 0.250 0.250
Pm 0.000 0.000 0.000

Computed properties:
* crystal system: cubic
* polymorph energy (0 for the lowest one): 190 meV per atom
* ΔE_f: -326 meV/atom
* size of the total moment: 0.0 μB/cell
* theoretical density: 6.54 g/cm³

***

# PdSI2

PdSI2 after structural relaxation (PBE, the Alexandria database).

Lattice parameters (Å, degrees): 5.648 5.648 8.691 71.04 71.04 90.00
Fractional coordinates of all 8 atoms:
I 0.631 0.125 0.250
I 0.119 0.625 0.250
I 0.375 0.369 0.750
I 0.875 0.881 0.750
S 0.500 0.500 0.000
S 0.250 0.750 0.500
Pd 0.000 0.000 0.000
Pd 0.750 0.250 0.500

Computed properties:
* crystal system: tetragonal
* ΔE_f (raw): 0.479 eV/atom
* size of the total moment: 0.0 μB/cell
* theoretical density: 5.29 g/cm³

***

# Th12Tl3Pt5

Th12Tl3Pt5 after structural relaxation (PBE, the Alexandria database).

Lattice parameters (Å, degrees): 15.260 15.260 15.260 109.47 109.47 109.47
Fractional coordinates of all 80 atoms:
Tl 0.750 0.375 0.125
Tl 0.875 0.750 0.125
Tl 0.375 0.750 0.625
Tl 0.250 0.125 0.375
Tl 0.875 0.125 0.250
Tl 0.375 0.625 0.250
Tl 0.625 0.375 0.750
Tl 0.125 0.875 0.750
Tl 0.750 0.875 0.625
Tl 0.625 0.250 0.375
Tl 0.125 0.250 0.875
Tl 0.250 0.625 0.875
Pt 0.125 0.375 0.250
Pt 0.000 0.500 0.000
Pt 0.000 0.000 0.000
Pt 0.375 0.250 0.125
Pt 0.500 0.000 0.500
Pt 0.500 0.500 0.000
Pt 0.125 0.750 0.375
Pt 0.750 0.125 0.875
Pt 0.750 0.625 0.375
Pt 0.375 0.125 0.750
Pt 0.625 0.875 0.250
Pt 0.500 0.500 0.500
Pt 0.500 0.000 0.000
Pt 0.000 0.000 0.500
Pt 0.250 0.375 0.625
Pt 0.250 0.875 0.125
Pt 0.000 0.500 0.500
Pt 0.875 0.250 0.625
Pt 0.625 0.750 0.875
Pt 0.875 0.625 0.750
Th 0.713 0.125 0.041
Th 0.328 0.541 0.416
Th 0.959 0.375 0.287
Th 0.541 0.213 0.125
Th 0.588 0.713 0.672
Th 0.959 0.584 0.172
Th 0.328 0.787 0.412
Th 0.084 0.912 0.125
Th 0.584 0.959 0.672
Th 0.713 0.588 0.172
Th 0.787 0.459 0.375
Th 0.828 0.916 0.041
Th 0.125 0.713 0.541
Th 0.375 0.416 0.088
Th 0.088 0.916 0.375
Th 0.412 0.125 0.584
Th 0.088 0.172 0.213
Th 0.459 0.672 0.084
Th 0.828 0.912 0.287
Th 0.125 0.412 0.084
Th 0.375 0.959 0.787
Th 0.584 0.625 0.412
Th 0.916 0.828 0.541
Th 0.787 0.328 0.912
Th 0.416 0.375 0.588
Th 0.084 0.172 0.459
Th 0.213 0.672 0.088
Th 0.172 0.088 0.713
Th 0.625 0.041 0.213
Th 0.875 0.588 0.916
Th 0.541 0.328 0.916
Th 0.588 0.875 0.416
Th 0.912 0.828 0.787
Th 0.912 0.084 0.625
Th 0.875 0.287 0.459
Th 0.172 0.084 0.959
Th 0.625 0.584 0.912
Th 0.416 0.041 0.328
Th 0.287 0.412 0.828
Th 0.213 0.541 0.625
Th 0.916 0.088 0.875
Th 0.672 0.213 0.588
Th 0.459 0.787 0.875
Th 0.041 0.416 0.828
Th 0.412 0.287 0.328
Th 0.041 0.625 0.713
Th 0.672 0.459 0.584
Th 0.287 0.875 0.959

Computed properties:
* crystal system: cubic
* ΔE_f: -179 meV/atom
* size of the total moment: 0.0 μB/cell
* theoretical density: 10.62 g/cm³

***

# Pm7Sm2Er2

Pm7Sm2Er2 after structural relaxation (PBE, the Alexandria database).

Lattice parameters (Å, degrees): 5.672 8.212 9.469 115.70 107.43 90.00
Fractional coordinates of all 11 atoms:
Pm 0.135 0.051 0.270
Pm 0.132 0.458 0.264
Pm 0.500 0.922 0.000
Pm 0.338 0.462 0.677
Pm 0.662 0.785 0.323
Pm 0.865 0.781 0.730
Pm 0.868 0.194 0.736
Sm 0.299 0.918 0.598
Sm 0.701 0.321 0.402
Er 0.000 0.622 0.000
Er 0.500 0.340 0.000

Computed properties:
* crystal system: orthorhombic
* polymorph energy (0 for the lowest one): 12 meV per atom
* ΔE_f: 111 meV/atom
* size of the total moment: 0.0 μB/cell
* theoretical density: 7.31 g/cm³

***

# LiLaEr2Cd4

LiLaEr2Cd4 after structural relaxation (PBE, the Alexandria database).

Lattice parameters (Å, degrees): 5.200 5.200 9.300 73.77 73.77 60.00
Fractional coordinates of all 8 atoms:
Li 0.500 0.500 0.500
La 0.000 0.000 0.000
Er 0.754 0.754 0.737
Er 0.246 0.246 0.263
Cd 0.387 0.387 0.838
Cd 0.872 0.872 0.384
Cd 0.128 0.128 0.616
Cd 0.613 0.613 0.162

Computed properties:
* crystal system: trigonal
* ΔE_f: -253 meV/atom
* size of the total moment: 0.0 μB/cell
* theoretical density: 7.49 g/cm³

***

# CdS3O

CdS3O after structural relaxation (PBE, the Alexandria database).

Lattice parameters (Å, degrees): 4.324 4.324 4.324 90.00 90.00 90.00
Fractional coordinates of all 5 atoms:
S 0.000 0.500 0.000
S 0.000 0.000 0.500
S 0.500 0.000 0.000
O 0.000 0.000 0.000
Cd 0.500 0.500 0.500

Computed properties:
* crystal system: cubic
* ΔE_f (raw): 0.621 eV/atom
* polymorph energy (0 for the lowest one): 0 meV per atom
* size of the total moment: 0.0 μB/cell
* theoretical density: 4.61 g/cm³

***

# Tm2Mg5Sc

Tm2Mg5Sc after structural relaxation (PBE, the Alexandria database).

Lattice parameters (Å, degrees): 5.095 5.095 8.400 107.65 107.65 90.00
Fractional coordinates of all 8 atoms:
Tm 0.747 0.747 0.493
Tm 0.253 0.253 0.507
Mg 0.500 0.500 0.000
Mg 0.884 0.384 0.769
Mg 0.384 0.884 0.769
Mg 0.116 0.616 0.231
Mg 0.616 0.116 0.231
Sc 0.000 0.000 0.000

Computed properties:
* crystal system: tetragonal
* ΔE_f: -41 meV/atom
* size of the total moment: 0.0 μB/cell
* theoretical density: 4.25 g/cm³

***

# HgB3N

HgB3N after structural relaxation (PBE, the Alexandria database).

Lattice parameters (Å, degrees): 3.689 3.689 3.689 90.00 90.00 90.00
Fractional coordinates of all 5 atoms:
B 0.000 0.500 0.000
B 0.000 0.000 0.500
B 0.500 0.000 0.000
Hg 0.500 0.500 0.500
N 0.000 0.000 0.000

Computed properties:
* crystal system: cubic
* ΔE_f (raw): 2.023 eV/atom
* polymorph energy (0 for the lowest one): 0 meV per atom
* size of the total moment: 0.0 μB/cell
* theoretical density: 8.17 g/cm³

***

# LiPuInCl6

LiPuInCl6 after structural relaxation (PBE, the Alexandria database).

Lattice parameters (Å, degrees): 6.384 6.384 12.401 90.00 90.00 90.00
Site moments in Bohr magnetons follow the coordinates.
Fractional coordinates of all 18 atoms:
Li 0.500 0.500 0.165  0.00
Li 0.000 0.000 0.665  0.00
Pu 0.500 0.500 0.834  4.96
Pu 0.000 0.000 0.334  4.96
In 0.500 0.500 0.498  -0.02
In 0.000 0.000 0.998  -0.02
Cl 0.188 0.812 0.505  -0.02
Cl 0.812 0.188 0.505  -0.02
Cl 0.312 0.312 0.005  -0.02
Cl 0.688 0.688 0.005  -0.02
Cl 0.200 0.800 0.171  -0.03
Cl 0.800 0.200 0.171  -0.03
Cl 0.300 0.300 0.671  -0.03
Cl 0.700 0.700 0.671  -0.03
Cl 0.800 0.200 0.825  -0.03
Cl 0.200 0.800 0.825  -0.03
Cl 0.700 0.700 0.325  -0.03
Cl 0.300 0.300 0.325  -0.03

Computed properties:
* crystal system: tetragonal
* ΔE_f (raw): -1.507 eV/atom
* size of the total moment: 9.7 μB/cell
* theoretical density: 3.80 g/cm³

***

# ZnCo2Br

ZnCo2Br after structural relaxation (PBE, the Alexandria database).

Lattice parameters (Å, degrees): 3.990 3.284 5.500 99.49 90.00 90.00
Site moments in Bohr magnetons follow the coordinates.
Fractional coordinates of all 4 atoms:
Br 0.500 0.750 0.750  0.04
Co 0.000 0.906 0.091  1.69
Co 0.000 0.594 0.409  1.69
Zn 0.500 0.250 0.250  -0.07

Computed properties:
* crystal system: monoclinic
* ΔE_f (raw): 0.434 eV/atom
* polymorph energy (0 for the lowest one): 165 meV per atom
* size of the total moment: 3.4 μB/cell
* theoretical density: 6.15 g/cm³

***

# YErSiSe

YErSiSe after structural relaxation (PBE, the Alexandria database).

Lattice parameters (Å, degrees): 4.086 4.086 7.173 73.45 73.45 60.00
Fractional coordinates of all 4 atoms:
Y 0.689 0.689 0.932
Er 0.199 0.199 0.403
Si 0.943 0.943 0.170
Se 0.445 0.445 0.665

Computed properties:
* crystal system: trigonal
* ΔE_f (raw): -1.302 eV/atom
* size of the total moment: 0.0 μB/cell
* theoretical density: 6.16 g/cm³

***

# SmHg3Pb

SmHg3Pb after structural relaxation (PBE, the Alexandria database).

Lattice parameters (Å, degrees): 6.806 8.053 9.992 90.00 90.00 90.00
Fractional coordinates of all 20 atoms:
Sm 0.750 0.338 0.585
Sm 0.250 0.162 0.085
Sm 0.250 0.662 0.415
Sm 0.750 0.838 0.915
Hg 0.012 0.846 0.188
Hg 0.512 0.654 0.688
Hg 0.988 0.654 0.688
Hg 0.512 0.154 0.812
Hg 0.988 0.154 0.812
Hg 0.488 0.346 0.312
Hg 0.012 0.346 0.312
Hg 0.488 0.846 0.188
Hg 0.750 0.150 0.117
Hg 0.250 0.350 0.617
Hg 0.250 0.850 0.883
Hg 0.750 0.650 0.383
Pb 0.000 0.000 0.500
Pb 0.500 0.500 0.000
Pb 0.000 0.500 0.000
Pb 0.500 0.000 0.500

Computed properties:
* crystal system: orthorhombic
* polymorph energy (0 for the lowest one): 4 meV per atom
* ΔE_f: -238 meV/atom
* size of the total moment: 0.0 μB/cell
* theoretical density: 11.64 g/cm³

***

# Sc2MoBr

Sc2MoBr after structural relaxation (PBE, the Alexandria database).

Lattice parameters (Å, degrees): 4.879 4.879 5.460 73.37 73.37 40.70
Fractional coordinates of all 4 atoms:
Br 0.750 0.750 0.750
Mo 0.250 0.250 0.250
Sc 0.002 0.002 0.006
Sc 0.498 0.498 0.494

Computed properties:
* crystal system: monoclinic
* ΔE_f (raw): 0.174 eV/atom
* polymorph energy (0 for the lowest one): 542 meV per atom
* size of the total moment: 0.0 μB/cell
* theoretical density: 5.47 g/cm³